[1]
## IrPbCl (PBE)

Data for a relaxed structure of IrPbCl.

Calculated values
formation energy (no corrections): 0.495 eV/atom
space group: No. 44

The structure in POSCAR format:
```
IrPbCl
1.0
-1.667 2.286 4.138
1.667 -2.286 4.138
1.667 2.286 -4.138
Ir Pb Cl
1 1 1
Direct
0.000 0.000 0.000 Ir
0.358 0.358 0.000 Pb
0.714 0.714 0.000 Cl
```

=====

[2]
## IrPb2Cl (PBE)

Data for a relaxed structure of IrPb2Cl.

Calculated values
formation energy (no corrections): 0.298 eV/atom
space group: No. 99

The structure in POSCAR format:
```
IrPb2Cl
1.0
3.451 0.000 0.000
0.000 3.451 0.000
0.000 0.000 8.173
Ir Pb Cl
1 2 1
Direct
0.000 0.000 0.000 Ir
0.000 0.000 0.474 Pb
0.500 0.500 0.166 Pb
0.500 0.500 0.708 Cl
```

=====

[3]
## IrPb2Cl (PBE)

Data for a relaxed structure of IrPb2Cl.

Calculated values
formation energy (no corrections): -0.027 eV/atom
space group: No. 8

The structure in POSCAR format:
```
IrPb2Cl
1.0
7.261 -1.662 0.000
7.261 1.662 0.000
-0.014 0.000 4.509
Ir Pb Cl
1 2 1
Direct
0.000 0.000 0.000 Ir
0.462 0.462 0.500 Pb
0.661 0.661 0.002 Pb
0.251 0.251 0.503 Cl
```